VGeRu | PBE | optimized geometry

Values from the calculation:
Energy relative to the elements, eV/atom: -0.03
Magnetization, μB per cell: 0.00
Calculated volume, Å³ per cell: 88.41
E_tot, eV per atom: -7.705
DOS(E_F), states/eV/f.u.: 2.4
Space group: Cm, No. 8

Unit cell a=6.9589 b=6.9589 c=4.8176 alpha=105.65 beta=105.65 gamma=23.22
With the nearest neighbours (Å) after each atom.
Sites, in units of the cell vectors:
V (0.0000, 0.0000, 0.0000)  4 Ge 2.40-2.61, 1 Ru 2.53
V (0.6756, 0.6756, 0.8745)  3 Ru 2.53-2.63, 4 Ge 2.63-2.70, 2 V 2.80
Ge (0.0285, 0.0285, 0.5292)  4 V 2.40-2.63, 2 Ru 2.46-2.52
Ge (0.3341, 0.3341, 0.7906)  5 Ru 2.59-2.86, 4 V 2.61-2.70, 2 Ge 2.80
Ru (0.1786, 0.1786, 0.3383)  2 Ge 2.46-2.59, 3 V 2.53-2.63, 2 Ru 2.69
Ru (0.8400, 0.8400, 0.2768)  3 Ge 2.52-2.71, 1 V 2.53, 4 Ru 2.69-2.80